Record 1
Computed, not measured: a relaxed structure of TePdS2Cl at the PBE-GGA level of DFT.

```
5
Lattice="4.7696 0.0000 0.0000 0.0000 4.7696 0.0000 0.0000 0.0000 4.6959" Properties=species:S:1:pos:R:3 pbc="T T T"
S 0.0000 2.3848 0.0000
S 2.3848 0.0000 0.0000
Te 2.3848 2.3848 2.3479
Pd 0.0000 0.0000 0.0000
Cl 0.0000 0.0000 2.3479
```

Summary:
- space-group type = No. 123
- magnetization (μB/f.u.) = 0.0

Record 2
Computed, not measured: a relaxed structure of TiPdSCl2 at the PBE-GGA level of DFT.

```
5
Lattice="4.7297 0.0000 0.0000 0.0000 4.7297 0.0000 0.0000 0.0000 4.8741" Properties=species:S:1:pos:R:3 pbc="T T T"
S 0.0000 0.0000 2.4371
Cl 0.0000 2.3648 0.0000
Cl 2.3648 0.0000 0.0000
Pd 0.0000 0.0000 0.0000
Ti 2.3648 2.3648 2.4371
```

Summary:
- space-group type = No. 123
- magnetization (μB/f.u.) = 0.0

Record 3
Computed, not measured: a relaxed structure of TiPdSCl2 at the PBE-GGA level of DFT.

```
5
Lattice="-2.5029 2.7878 -2.9371 -2.8288 -3.6743 -1.0769 -2.8693 1.1676 3.5534" Properties=species:S:1:pos:R:3 pbc="T T T"
S -1.4347 0.5838 1.7767
Cl -1.4144 -1.8372 -0.5385
Cl -1.2514 1.3939 -1.4685
Pd -4.1005 0.1405 -0.2303
Ti 0.0000 0.0000 0.0000
```

Summary:
- space-group type = No. 123
- magnetization (μB/f.u.) = 0.0

Energy relative to the elements, uncorrected: 0.292 0.141 -0.469 (eV per atom)